No. 1
Density functional theory data (PBE) for crystalline Er4Hg3 at its relaxed geometry.

## Properties
Energy relative to the lowest polymorph listed for this composition ... 161 meV per atom
ΔH_f (0 K) ... -0.156 eV/atom
Space-group type ... R-3m, No. 166

a = 4.9348 Å, b = 4.9348 Å, c = 10.1311 Å
α = 75.90°, β = 75.90°, γ = 60.00°
Last column: magnetic moment on the atom in μB.
Atoms (fractional coordinates):
Hg  0.5000  0.5000  0.5000  0.01
Er  0.7030  0.7030  0.8909  0.01
Er  0.1209  0.1209  0.6374  0.06
Hg  0.3996  0.3996  0.8012  0.00
Hg  0.6004  0.6004  0.1988  0.00
Er  0.8791  0.8791  0.3626  0.06
Er  0.2970  0.2970  0.1091  0.01

---

No. 2
Density functional theory data (PBE) for crystalline Ca2DyZn6 at its relaxed geometry.

## Properties
ΔH_f (0 K) ... -0.301 eV/atom
Space-group type ... P6/mmm, No. 191

a = 3.6383 Å, b = 7.7886 Å, c = 7.7886 Å
α = 120.00°, β = 90.00°, γ = 90.00°
Atoms (fractional coordinates):
Ca  0.0000  0.3333  0.6667
Zn  0.5000  0.6680  0.6680
Zn  0.5000  0.3320  0.0000
Zn  0.5000  0.6680  0.0000
Zn  0.5000  0.0000  0.6680
Dy  0.0000  0.0000  0.0000
Zn  0.5000  0.3320  0.3320
Ca  0.0000  0.6667  0.3333
Zn  0.5000  0.0000  0.3320

---

No. 3
Density functional theory data (PBE) for crystalline LiTl3Bi at its relaxed geometry.

## Properties
Energy relative to the lowest polymorph listed for this composition ... 0 meV per atom
ΔH_f (0 K) ... -0.062 eV/atom
Space-group type ... P2_1/m, No. 11

a = 3.6158 Å, b = 9.1641 Å, c = 10.9426 Å
α = 90.00°, β = 90.00°, γ = 126.31°
Atoms (fractional coordinates):
Li  0.5517  0.7011  0.2500
Li  0.4483  0.2989  0.7500
Tl  0.9231  0.2824  0.5082
Tl  0.0769  0.7176  0.0082
Tl  0.4202  0.6156  0.7500
Tl  0.0769  0.7176  0.4918
Tl  0.5798  0.3844  0.2500
Tl  0.9231  0.2824  0.9918
Bi  0.5246  0.0156  0.2500
Bi  0.4754  0.9844  0.7500

---

No. 4
Density functional theory data (PBE) for crystalline Pm3Sm2ThAs6 at its relaxed geometry.

## Properties
ΔH_f (0 K) ... -1.527 eV/atom
Space-group type ... C2/m, No. 12

a = 4.2370 Å, b = 8.4696 Å, c = 9.4610 Å
α = 102.91°, β = 102.94°, γ = 90.00°
Atoms (fractional coordinates):
As  0.3332  0.4175  0.6664
Pm  0.1677  0.8315  0.3353
Sm  0.8322  0.6641  0.6644
As  0.6668  0.5825  0.3336
Pm  0.8323  0.1685  0.6647
Sm  0.1678  0.3359  0.3356
As  0.6659  0.0835  0.3317
As  0.3341  0.9165  0.6683
Pm  0.5000  0.5000  0.0000
Th  0.5000  0.0000  0.0000
As  0.0004  0.2489  0.0007
As  0.9996  0.7511  0.9993

---

No. 5
Density functional theory data (PBE) for crystalline NaHg2Ir2 at its relaxed geometry.

## Properties
ΔH_f (0 K) ... 0.338 eV/atom
Space-group type ... P4/mbm, No. 127

a = 8.1484 Å, b = 8.1484 Å, c = 2.9462 Å
α = 90.00°, β = 90.00°, γ = 90.00°
Atoms (fractional coordinates):
Ir  0.1103  0.3897  0.0000
Ir  0.6103  0.1103  0.0000
Hg  0.6863  0.8137  0.5000
Na  0.0000  0.0000  0.0000
Hg  0.8137  0.3137  0.5000
Ir  0.3897  0.8897  0.0000
Hg  0.3137  0.1863  0.5000
Na  0.5000  0.5000  0.0000
Hg  0.1863  0.6863  0.5000
Ir  0.8897  0.6103  0.0000

---

No. 6
Density functional theory data (PBE) for crystalline NdTeIr at its relaxed geometry.

## Properties
Formation energy (no corrections) ... -1.5 eV per formula unit
Space-group type ... Cmcm, No. 63

a = 3.6246 Å, b = 5.1020 Å, c = 9.0536 Å
α = 90.00°, β = 101.55°, γ = 90.00°
Atoms (fractional coordinates):
Nd  0.9221  0.2500  0.8441
Nd  0.0779  0.7500  0.1559
Ir  0.5632  0.2500  0.1265
Te  0.8219  0.7500  0.6439
Ir  0.4368  0.7500  0.8735
Te  0.1781  0.2500  0.3561

---

No. 7
Density functional theory data (PBE) for crystalline Zr2AgHIr at its relaxed geometry.

## Properties
Energy relative to the lowest polymorph listed for this composition ... 1131 meV per atom
Space-group type ... P4/mmm, No. 123

a = 4.9846 Å, b = 5.1574 Å, c = 4.9846 Å
α = 90.00°, β = 90.00°, γ = 90.00°
Atoms (fractional coordinates):
Zr  0.5000  0.0000  0.0000
Ir  0.0000  0.0000  0.0000
Ag  0.0000  0.5000  0.0000
Zr  0.0000  0.0000  0.5000
H  0.5000  0.5000  0.5000

---

No. 8
Density functional theory data (PBE) for crystalline Zr2InCl at its relaxed geometry.

## Properties
Energy relative to the lowest polymorph listed for this composition ... 157 meV per atom
Formation energy (no corrections) ... -1.7 eV per formula unit
Space-group type ... P2/m, No. 10

a = 3.8362 Å, b = 3.2284 Å, c = 7.0385 Å
α = 89.84°, β = 90.00°, γ = 90.00°
Atoms (fractional coordinates):
Zr  0.0000  0.2517  0.4936
In  0.5000  0.7500  0.7500
Cl  0.5000  0.2500  0.2500
Zr  0.0000  0.2483  0.0064

---

No. 9
Density functional theory data (PBE) for crystalline Tb3DyTm3S8 at its relaxed geometry.

## Properties
Formation energy (no corrections) ... -30.6 eV per formula unit
Space-group type ... R-3m, No. 166

a = 7.7466 Å, b = 7.7466 Å, c = 7.7685 Å
α = 119.91°, β = 90.00°, γ = 120.00°
Atoms (fractional coordinates):
Dy  0.0000  0.0000  0.5000
Tm  0.5000  0.0000  0.5000
S  0.7430  0.9948  0.7466
S  0.2518  0.9948  0.7466
S  0.7482  0.4964  0.2534
Tm  0.0000  0.5000  0.5000
S  0.2570  0.0052  0.2534
Tb  0.0000  0.0000  0.0000
Tb  0.5000  0.5000  0.0000
S  0.2518  0.5036  0.7466
S  0.2525  0.5050  0.2575
Tb  0.0000  0.5000  0.0000
Tm  0.5000  0.5000  0.5000
S  0.7482  0.0052  0.2534
S  0.7475  0.4950  0.7425

---

No. 10
Density functional theory data (PBE) for crystalline TbY3 at its relaxed geometry.

## Properties
Energy relative to the lowest polymorph listed for this composition ... 0 meV per atom
ΔH_f (0 K) ... 0.002 eV/atom
Space-group type ... Pmm2, No. 25

a = 3.6490 Å, b = 5.6568 Å, c = 6.3215 Å
α = 90.00°, β = 90.00°, γ = 90.00°
Atoms (fractional coordinates):
Y  0.0000  0.5000  0.3327
Y  0.5000  0.0000  0.5001
Y  0.5000  0.5000  0.8340
Tb  0.0000  0.0000  0.9998

---

Sequential E_tot output: -2.89; -2.11; -2.64; -6.44; -3.59; -6.08; -5.62; -5.85; -6.37; -6.00 eV per atom